A geometry-optimized Be2VH structure, computed with PBE.

Summary:
The total moment comes out at 0.00 μB/f.u. The value obtained for the calculated total energy is -4.0745 eV/atom. The energy above the most stable polymorph in this dataset comes out at 702 meV per atom. As for the crystal system: cubic. Its symmetry is No. 225. For the volume, the calculation gives 36.1 Å³/f.u.

extended XYZ file:
```
4
Lattice="-1.088 -2.664 2.339 -3.414 0.083 1.446 -2.529 -2.491 -1.073" Properties=species:S:1:pos:R:3 pbc="T T T"
Be -1.758 -1.268 0.678
Be -5.273 -3.804 2.034
V -3.515 -2.536 1.356
H 0.000 0.000 0.000
```